A plane-wave DFT calculation with PBE+U was carried out for crystalline SrVIO6 at its relaxed geometry.

The space group is P-31c (No. 163) and the conventional cell measures 5.3238, 5.3238 and 10.7693 Å, with angles of 90.00, 90.00 and 120.00 degrees. The inequivalent atoms are Sr at (0.0000, 0.0000, 0.0000), V at (0.3333, 0.6667, 0.2500), I at (0.3333, 0.6667, 0.7500) and O at (0.0212, 0.3884, 0.1481).

The total magnetic moment comes out at 0.00 μB/f.u. The calculation puts the total energy at -6.02 eV/atom.